(1)
Material: HfSi2
Method: DFT, PBE-GGA
State: optimized geometry

abc: 7.8059 7.8059 3.5957
angles: 90.00 90.00 153.58
With the nearest neighbours (Å) after each atom.
Sites, in units of the cell vectors:
1 Hf 0.3923 0.6077 0.2500  11 Si 2.68-2.99
2 Hf 0.6077 0.3923 0.7500  11 Si 2.68-2.99
3 Si 0.2119 0.7881 0.2500  1 Si 2.46, 1 Hf 2.74
4 Si 0.0499 0.9501 0.2500  3 Si 2.35-2.46
5 Si 0.9501 0.0499 0.7500  3 Si 2.35-2.46
6 Si 0.7881 0.2119 0.7500  1 Si 2.46, 1 Hf 2.74

Output
As for the energy: -43.9 eV per cell. The density comes out at 8.0 g cm⁻³. Its symmetry is No. 63.

---

(2)
Material: Mg4InGeIr2
Method: DFT, PBE-GGA
State: optimized geometry

abc: 4.4905 4.4905 8.5572
angles: 90.00 90.00 120.00
With the nearest neighbours (Å) after each atom.
Sites, in units of the cell vectors:
1 Ge 0.0000 0.0000 0.0000  3 Ir 2.59
2 In 0.0000 0.0000 0.5000  3 Ir 2.59
3 Ir 0.6667 0.3333 0.0000  3 Ge 2.59, 2 Mg 2.80
4 Ir 0.3333 0.6667 0.5000  3 In 2.59, 2 Mg 2.82
5 Mg 0.3333 0.6667 0.1703  4 Ir 2.82-2.97, 4 Mg 2.91-2.92, 3 Ge 2.97
6 Mg 0.6667 0.3333 0.3273  4 Ir 2.80-2.98, 4 Mg 2.92-2.96, 3 In 2.98
7 Mg 0.6667 0.3333 0.6727  4 Ir 2.80-2.98, 4 Mg 2.92-2.96, 3 In 2.98
8 Mg 0.3333 0.6667 0.8297  4 Ir 2.82-2.97, 4 Mg 2.91-2.92, 3 Ge 2.97

Output
As for the energy: -34.1 eV per cell. The density comes out at 7.4 g cm⁻³. Its symmetry is No. 187.

---

(3)
Material: Gd3As2S
Method: DFT, PBE-GGA
State: optimized geometry

abc: 4.1043 4.1043 9.9994
angles: 90.00 90.00 120.00
With the nearest neighbours (Å) after each atom.
Sites, in units of the cell vectors:
1 As 0.3333 0.6667 0.3286  6 Gd 2.88-2.92
2 As 0.6667 0.3333 0.6714  6 Gd 2.88-2.92
3 Gd 0.6667 0.3333 0.1651  3 As 2.88, 3 S 2.89
4 Gd 0.0000 0.0000 0.5000  6 As 2.92
5 Gd 0.3333 0.6667 0.8349  3 As 2.88, 3 S 2.89
6 S 0.0000 0.0000 0.0000  6 Gd 2.89

Output
As for the energy: -37.8 eV per cell. The density comes out at 7.4 g cm⁻³. Its symmetry is No. 164.

---

(4)
Material: NbPPbO
Method: DFT, PBE-GGA
State: optimized geometry

abc: 3.8795 8.1899 5.1531
angles: 90.00 90.00 90.00
With the nearest neighbours (Å) after each atom.
Sites, in units of the cell vectors:
1 Nb 0.0000 0.1308 0.4320  2 O 1.97
2 Nb 0.0000 0.8692 0.9320  2 O 1.97
3 O 0.5000 0.1757 0.4336  2 Nb 1.97
4 O 0.5000 0.8243 0.9336  2 Nb 1.97
5 P 0.0000 0.8338 0.4302  3 Nb 2.43-2.60
6 P 0.0000 0.1662 0.9302  3 Nb 2.43-2.60
7 Pb 0.5000 0.5993 0.4583  2 P 2.73, 2 Pb 3.05
8 Pb 0.5000 0.4007 0.9583  2 P 2.73, 2 Pb 3.05

Output
As for the energy: -55.0 eV per cell. The density comes out at 7.0 g cm⁻³. For the energy relative to the lowest polymorph listed for this composition, the calculation gives 0.07 eV/f.u. Its symmetry is No. 26.